VASP calculation (PBE) on crystalline SrUIrO6 at its relaxed geometry.

The structure belongs to space group P-31c (No. 163); the cell edges are 5.5407, 5.5407 and 9.3616 Å and the angles 90.00°, 90.00° and 120.00°. The inequivalent atoms are Sr at (0.3333, 0.6667, 0.2500), U at (0.0000, 0.0000, 0.0000), Ir at (0.3333, 0.6667, 0.7500) and O at (0.0696, 0.3500, 0.6226).

The calculation puts the theoretical density at 8.2 g/cm3. The total energy is -7.944 eV/atom. The value obtained for the density of states at the Fermi level is 11.7 states/eV/cell. Its formation energy from raw total energies is -19.9 eV/f.u.